# MnInAs2O8, relaxed, DFT PBE with a Hubbard U
# Energy = -6.16 eV/atom
data_MnInAs2O8
_chemical_formula_sum 'Mn2 In2 As4 O16'
_space_group_name_H-M_alt 'I -4 m 2'
_space_group_IT_number 119
_space_group_name_Hall 'I -4 -2'
_cell_length_a 6.821
_cell_length_b 6.821
_cell_length_c 6.328
_cell_angle_alpha 90.00
_cell_angle_beta 90.00
_cell_angle_gamma 90.00
loop_
_atom_site_label
_atom_site_type_symbol
_atom_site_fract_x
_atom_site_fract_y
_atom_site_fract_z
_atom_site_occupancy
Mn1 Mn 0.000 0.000 0.000 1
In1 In 0.000 0.500 0.250 1
As1 As 0.000 0.000 0.500 1
As2 As 0.000 0.500 0.750 1
O1 O 0.000 0.185 0.315 1
O2 O 0.000 0.313 0.934 1